No. 1
Compound: TaTcNi2
Source: Alexandria
Functional: GGA-PBE
Structure: relaxed

CIF file:
```
data_TaTcNi2
_cell_length_a 2.661
_cell_length_b 4.226
_cell_length_c 4.830
_cell_angle_alpha 90.00
_cell_angle_beta 96.71
_cell_angle_gamma 90.00
_symmetry_space_group_name_H-M 'P 1 m 1'
_symmetry_Int_Tables_number 6
loop_
_symmetry_equiv_pos_as_xyz
'x,y,z'
'x,-y,z'
loop_
_atom_site_label
_atom_site_type_symbol
_atom_site_fract_x
_atom_site_fract_y
_atom_site_fract_z
Ta1 Ta 0.000 0.000 0.000
Tc1 Tc 0.813 0.500 0.333
Ni1 Ni 0.397 0.000 0.514
Ni2 Ni 0.423 0.500 0.792
```

- formation enthalpy at 0 K (eV per atom) = -0.145
- relative energy among the computed polymorphs (eV per formula unit) = 0.283
- magnetization (μB per formula unit) = 0.0



No. 2
Compound: MgAgB2F
Source: Alexandria
Functional: GGA-PBE
Structure: relaxed

CIF file:
```
data_MgAgB2F
_cell_length_a 4.279
_cell_length_b 4.279
_cell_length_c 3.731
_cell_angle_alpha 90.00
_cell_angle_beta 90.00
_cell_angle_gamma 90.00
_symmetry_space_group_name_H-M 'P 4/m m m'
_symmetry_Int_Tables_number 123
_symmetry_space_group_name_Hall '-P 4 2'
loop_
_atom_site_label
_atom_site_type_symbol
_atom_site_fract_x
_atom_site_fract_y
_atom_site_fract_z
Mg1 Mg 0.000 0.000 0.000
Ag1 Ag 0.500 0.500 0.000
B1 B 0.000 0.500 0.500
F1 F 0.000 0.000 0.500
```

- formation energy (no corrections) (eV/atom) = 0.783
- magnetization (μB per formula unit) = 0.0



No. 3
Compound: Sr2MoRh
Source: Alexandria
Functional: GGA-PBE
Structure: relaxed

CIF file:
```
data_Sr2MoRh
_cell_length_a 4.507
_cell_length_b 4.517
_cell_length_c 9.381
_cell_angle_alpha 90.00
_cell_angle_beta 90.00
_cell_angle_gamma 90.00
_symmetry_space_group_name_H-M 'C m m m'
_symmetry_Int_Tables_number 65
_symmetry_space_group_name_Hall '-C 2 2'
loop_
_atom_site_label
_atom_site_type_symbol
_atom_site_fract_x
_atom_site_fract_y
_atom_site_fract_z
Sr1 Sr 0.000 0.000 0.222
Mo1 Mo 0.000 0.500 0.500
Rh1 Rh 0.000 0.500 0.000
```

- formation enthalpy at 0 K (eV per atom) = 0.720
- relative energy among the computed polymorphs (eV per formula unit) = 2.271
- magnetization (μB per formula unit) = 0.0



No. 4
Compound: Rb9AuO3
Source: Alexandria
Functional: GGA-PBE
Structure: relaxed

CIF file:
```
data_Rb9AuO3
_cell_length_a 10.5644
_cell_length_b 10.5644
_cell_length_c 5.7225
_cell_angle_alpha 90.00
_cell_angle_beta 90.00
_cell_angle_gamma 120.00
_symmetry_space_group_name_H-M 'P 6/m m m'
_symmetry_Int_Tables_number 191
_symmetry_space_group_name_Hall '-P 6 2'
loop_
_atom_site_label
_atom_site_type_symbol
_atom_site_fract_x
_atom_site_fract_y
_atom_site_fract_z
Rb1 Rb 0.0000 0.5000 0.0000
Rb2 Rb 0.2005 0.4009 0.5000
Au1 Au 0.0000 0.0000 0.0000
O1 O 0.0000 0.5000 0.5000
```

- formation energy (no corrections) (eV/atom) = -0.618
- magnetization (μB per formula unit) = 0.0